Record 1
Computed, not measured: an optimized crystal structure of Tb7PmHo5 at the PBE level of DFT.

Cell lengths 6.6606, 11.1620, 11.5520 Å; angles 90.00, 90.00, 90.00 degrees
Space group Imm2 (No. 44)
Symmetry-distinct sites (fractional):
Tb 0.0000 0.0000 0.0000
Tb 0.0000 0.0000 0.3056
Tb 0.0000 0.3289 0.7483
Tb 0.0000 0.3297 0.2501
Tb 0.0000 0.5000 0.9972
Pm 0.0000 0.0000 0.6962
Ho 0.0000 0.5000 0.5006
Ho 0.2346 0.2298 0.4985

DFT formation energy = 3.228 eV per formula unit
Volume = 33.03 A^3/atom
Fermi-level density of states = 24.6 states/eV/f.u.



Record 2
Computed, not measured: an optimized crystal structure of TbPm4Ho2 at the PBE level of DFT.

Cell lengths 6.2144, 6.6227, 11.6376 Å; angles 90.00, 104.89, 90.00 degrees
Space group P2_1/m (No. 11)
Symmetry-distinct sites (fractional):
Tb 0.1527 0.2500 0.1623
Pm 0.0350 0.2500 0.8621
Pm 0.1496 0.2500 0.4494
Pm 0.3516 0.5081 0.7145
Ho 0.2893 0.7500 0.4254
Ho 0.3933 0.7500 0.0041

DFT formation energy = 0.881 eV per formula unit
Volume = 33.06 A^3/atom
Fermi-level density of states = 10.7 states/eV/f.u.



Record 3
Computed, not measured: an optimized crystal structure of Tb2Pm3Ho at the PBE level of DFT.

Cell lengths 10.8391, 6.2563, 11.6287 Å; angles 90.00, 90.00, 90.00 degrees
Space group Cmcm (No. 63)
Symmetry-distinct sites (fractional):
Tb 0.1667 0.1661 0.2500
Pm 0.0000 0.0000 0.0000
Pm 0.1663 0.5000 0.0000
Ho 0.0000 0.3336 0.7500

DFT formation energy = -0.025 eV per formula unit
Volume = 32.86 A^3/atom
Fermi-level density of states = 7.0 states/eV/f.u.



Record 4
Computed, not measured: an optimized crystal structure of Tb3PmHo7 at the PBE level of DFT.

Cell lengths 7.0316, 7.0316, 8.5898 Å; angles 90.00, 90.00, 120.00 degrees
Space group P3m1 (No. 156)
Symmetry-distinct sites (fractional):
Tb 0.1670 0.3341 0.0000
Pm 0.0000 0.0000 0.6620
Ho 0.0022 0.5011 0.6637
Ho 0.3315 0.1657 0.3330
Ho 0.3333 0.6667 0.3355

DFT formation energy = 2.107 eV per formula unit
Volume = 33.44 A^3/atom
Fermi-level density of states = 17.2 states/eV/f.u.



Record 5
Computed, not measured: an optimized crystal structure of Tb2PmHo8 at the PBE level of DFT.

Cell lengths 5.4822, 8.0735, 15.9294 Å; angles 90.00, 90.00, 90.00 degrees
Space group Immm (No. 71)
Symmetry-distinct sites (fractional):
Tb 0.0000 0.0000 0.1998
Pm 0.0000 0.0000 0.5000
Ho 0.0000 0.2057 0.0000
Ho 0.0000 0.2927 0.3607
Ho 0.0000 0.5000 0.1626

DFT formation energy = 1.254 eV per formula unit
Volume = 32.05 A^3/atom
Fermi-level density of states = 15.2 states/eV/f.u.



Record 6
Computed, not measured: an optimized crystal structure of TbPm6Ho4 at the PBE level of DFT.

Cell lengths 6.6614, 6.6614, 17.0680 Å; angles 90.00, 90.00, 90.00 degrees
Space group I-42m (No. 121)
Symmetry-distinct sites (fractional):
Tb 0.0000 0.0000 0.0000
Pm 0.0000 0.5000 0.0000
Pm 0.1894 0.1894 0.1763
Ho 0.1791 0.1791 0.3740

DFT formation energy = 3.360 eV per formula unit
Volume = 34.43 A^3/atom
Fermi-level density of states = 17.3 states/eV/f.u.



Record 7
Computed, not measured: an optimized crystal structure of Tb2Pm2Ho5 at the PBE level of DFT.

Cell lengths 14.9040, 11.7570, 6.7262 Å; angles 90.00, 90.00, 90.00 degrees
Space group Ima2 (No. 46)
Symmetry-distinct sites (fractional):
Tb 0.0000 0.0000 0.0000
Tb 0.2500 0.0117 0.0935
Pm 0.1270 0.5029 0.0437
Ho 0.0526 0.7456 0.6930
Ho 0.1429 0.2360 0.8734
Ho 0.2500 0.7473 0.8933

DFT formation energy = 1.931 eV per formula unit
Volume = 32.74 A^3/atom
Fermi-level density of states = 14.8 states/eV/f.u.



Record 8
Computed, not measured: an optimized crystal structure of TbPm7Ho3 at the PBE level of DFT.

Cell lengths 7.1684, 7.1684, 8.6615 Å; angles 90.00, 90.00, 120.00 degrees
Space group P3m1 (No. 156)
Symmetry-distinct sites (fractional):
Tb 0.0000 0.0000 0.0000
Pm 0.0014 0.5007 0.0122
Pm 0.3318 0.1659 0.6667
Pm 0.3333 0.6667 0.6799
Ho 0.1662 0.3325 0.3384

DFT formation energy = 2.028 eV per formula unit
Volume = 35.04 A^3/atom
Fermi-level density of states = 17.2 states/eV/f.u.



Record 9
Computed, not measured: an optimized crystal structure of Tb5Pm3Ho3 at the PBE level of DFT.

Cell lengths 9.6840, 9.6840, 5.5807 Å; angles 90.00, 90.00, 120.00 degrees
Space group P-62m (No. 189)
Symmetry-distinct sites (fractional):
Tb 0.0000 0.2786 0.0000
Tb 0.3333 0.6667 0.0000
Pm 0.0000 0.4417 0.5000
Ho 0.0000 0.6349 0.0000

DFT formation energy = 8.550 eV per formula unit
Volume = 41.20 A^3/atom
Fermi-level density of states = 16.9 states/eV/f.u.



Record 10
Computed, not measured: an optimized crystal structure of Tb12Pm6Ho at the PBE level of DFT.

Cell lengths 15.1779, 15.1779, 10.2010 Å; angles 90.00, 90.00, 120.00 degrees
Space group R-3m (No. 166, hexagonal axes)
Symmetry-distinct sites (fractional):
Tb 0.0000 0.3892 0.0000
Tb 0.0788 0.1575 0.7366
Pm 0.0790 0.5395 0.7147
Ho 0.0000 0.0000 0.5000

DFT formation energy = 8.699 eV per formula unit
Volume = 35.70 A^3/atom
Fermi-level density of states = 32.1 states/eV/f.u.



Record 11
Computed, not measured: an optimized crystal structure of Tb4PmHo4 at the PBE level of DFT.

Cell lengths 10.6700, 10.6700, 5.0133 Å; angles 90.00, 90.00, 90.00 degrees
Space group I4/mmm (No. 139)
Symmetry-distinct sites (fractional):
Tb 0.0000 0.3335 0.0000
Pm 0.0000 0.0000 0.0000
Ho 0.1672 0.1672 0.5000

DFT formation energy = 0.161 eV per formula unit
Volume = 31.71 A^3/atom
Fermi-level density of states = 12.8 states/eV/f.u.



Record 12
Computed, not measured: an optimized crystal structure of TbPm12Ho2 at the PBE level of DFT.

Cell lengths 6.5142, 6.5142, 25.4310 Å; angles 90.00, 90.00, 90.00 degrees
Space group P4/nbm (No. 125, origin choice 2)
Symmetry-distinct sites (fractional):
Tb 0.2500 0.7500 0.0000
Pm 0.0667 0.5667 0.1145
Pm 0.0821 0.5821 0.4378
Pm 0.2500 0.2500 0.2154
Pm 0.2500 0.2500 0.3373
Ho 0.2500 0.7500 0.2725

DFT formation energy = 4.808 eV per formula unit
Volume = 35.97 A^3/atom
Fermi-level density of states = 17.7 states/eV/f.u.



Record 13
Computed, not measured: an optimized crystal structure of Tb2PmHo at the PBE level of DFT.

Cell lengths 3.5928, 3.5928, 34.7274 Å; angles 90.00, 90.00, 120.00 degrees
Space group R3m (No. 160, hexagonal axes)
Symmetry-distinct sites (fractional):
Tb 0.0000 0.0000 0.0000
Tb 0.0000 0.0000 0.1692
Pm 0.0000 0.0000 0.4183
Ho 0.0000 0.0000 0.5846

DFT formation energy = 0.057 eV per formula unit
Volume = 32.35 A^3/atom
Fermi-level density of states = 5.7 states/eV/f.u.



Record 14
Computed, not measured: an optimized crystal structure of Tb7PmHo12 at the PBE level of DFT.

Cell lengths 11.2159, 11.2159, 11.2159 Å; angles 90.00, 90.00, 90.00 degrees
Space group Im-3m (No. 229)
Symmetry-distinct sites (fractional):
Tb 0.0000 0.0000 0.5000
Tb 0.2500 0.2500 0.2500
Pm 0.0000 0.0000 0.0000
Ho 0.0000 0.2530 0.2530

DFT formation energy = 14.007 eV per formula unit
Volume = 35.27 A^3/atom
Fermi-level density of states = 23.4 states/eV/f.u.



Record 15
Computed, not measured: an optimized crystal structure of TbPmHo3 at the PBE level of DFT.

Cell lengths 3.5996, 11.5536, 8.5647 Å; angles 90.00, 102.12, 90.00 degrees
Space group P2_1/m (No. 11)
Symmetry-distinct sites (fractional):
Tb 0.1860 0.2500 0.3700
Pm 0.4857 0.7500 0.9765
Ho 0.1548 0.7500 0.3108
Ho 0.3430 0.0005 0.6857

DFT formation energy = 1.516 eV per formula unit
Volume = 34.83 A^3/atom
Fermi-level density of states = 7.7 states/eV/f.u.



Record 16
Computed, not measured: an optimized crystal structure of Tb3PmHo at the PBE level of DFT.

Cell lengths 6.2795, 5.7127, 9.5987 Å; angles 90.00, 109.08, 90.00 degrees
Space group P2_1/m (No. 11)
Symmetry-distinct sites (fractional):
Tb 0.1341 0.2500 0.0990
Tb 0.2668 0.7500 0.7012
Tb 0.3348 0.2500 0.5006
Pm 0.0673 0.7500 0.2994
Ho 0.4662 0.7500 0.0987

DFT formation energy = 0.073 eV per formula unit
Volume = 32.54 A^3/atom
Fermi-level density of states = 9.6 states/eV/f.u.



Record 17
Computed, not measured: an optimized crystal structure of Tb2PmHo at the PBE level of DFT.

Cell lengths 3.5718, 3.5718, 10.1117 Å; angles 90.00, 90.00, 90.00 degrees
Space group P4/mmm (No. 123)
Symmetry-distinct sites (fractional):
Tb 0.0000 0.0000 0.2458
Pm 0.5000 0.5000 0.5000
Ho 0.5000 0.5000 0.0000

DFT formation energy = 0.074 eV per formula unit
Volume = 32.25 A^3/atom
Fermi-level density of states = 5.0 states/eV/f.u.



Record 18
Computed, not measured: an optimized crystal structure of Tb3PmHo at the PBE level of DFT.

Cell lengths 3.6230, 16.6922, 11.6482 Å; angles 90.00, 90.00, 90.00 degrees
Space group Cmcm (No. 63)
Symmetry-distinct sites (fractional):
Tb 0.0000 0.1445 0.2500
Tb 0.0000 0.3476 0.5010
Pm 0.0000 0.1920 0.7500
Ho 0.0000 0.4803 0.2500

DFT formation energy = 1.630 eV per formula unit
Volume = 35.22 A^3/atom
Fermi-level density of states = 8.9 states/eV/f.u.



Record 19
Computed, not measured: an optimized crystal structure of Tb2Pm5Ho12 at the PBE level of DFT.

Cell lengths 15.6816, 10.1781, 7.8040 Å; angles 90.00, 90.21, 90.00 degrees
Space group C2/m (No. 12)
Symmetry-distinct sites (fractional):
Tb 0.0000 0.2386 0.0000
Pm 0.0000 0.0000 0.5000
Pm 0.1482 0.5000 0.0776
Pm 0.2447 0.0000 0.4873
Ho 0.0508 0.5000 0.7055
Ho 0.1059 0.2761 0.3920
Ho 0.1511 0.0000 0.1184
Ho 0.1955 0.2363 0.7978

DFT formation energy = 2.524 eV per formula unit
Volume = 32.78 A^3/atom
Fermi-level density of states = 26.2 states/eV/f.u.